(1)
Entry from Alexandria via LeMat-Bulk: Sb2OsBr after structural relaxation (GGA-PBEsol).

a = 3.261 Å, b = 4.900 Å, c = 5.094 Å
α = 90.00°, β = 90.00°, γ = 90.00°
Fractional coordinates of all 4 atoms:
Sb 0.000 0.000 0.000
Sb 0.500 0.000 0.500
Os 0.000 0.500 0.500
Br 0.500 0.500 0.000

Computed properties:
raw formation energy: 0.94 eV per atom
crystal system: orthorhombic

---

(2)
Entry from Alexandria via LeMat-Bulk: SbTe2OsBr after structural relaxation (GGA-PBEsol).

a = 5.268 Å, b = 5.268 Å, c = 5.442 Å
α = 90.00°, β = 90.00°, γ = 90.00°
Fractional coordinates of all 5 atoms:
Sb 0.000 0.000 0.000
Te 0.000 0.500 0.500
Te 0.500 0.000 0.500
Os 0.500 0.500 0.000
Br 0.000 0.000 0.500

Computed properties:
raw formation energy: 2.06 eV per atom
crystal system: tetragonal

---

(3)
Entry from Alexandria via LeMat-Bulk: TiSbOsBr2 after structural relaxation (GGA-PBEsol).

a = 4.805 Å, b = 4.805 Å, c = 4.888 Å
α = 90.00°, β = 90.00°, γ = 90.00°
Fractional coordinates of all 5 atoms:
Ti 0.000 0.000 0.000
Sb 0.500 0.500 0.500
Os 0.000 0.000 0.500
Br 0.000 0.500 0.000
Br 0.500 0.000 0.000

Computed properties:
raw formation energy: 0.69 eV per atom
crystal system: tetragonal

---

(4)
Entry from Alexandria via LeMat-Bulk: ScOsBr2 after structural relaxation (GGA-PBEsol).

a = 7.053 Å, b = 7.053 Å, c = 4.271 Å
α = 92.08°, β = 92.08°, γ = 26.68°
Fractional coordinates of all 4 atoms:
Sc 0.000 0.000 0.000
Os 0.500 0.500 0.500
Br 0.347 0.347 0.771
Br 0.653 0.653 0.229

Computed properties:
raw formation energy: -0.31 eV per atom
crystal system: monoclinic

---

(5)
Entry from Alexandria via LeMat-Bulk: ScOsBr2 after structural relaxation (GGA-PBEsol).

a = 3.484 Å, b = 3.484 Å, c = 7.032 Å
α = 90.00°, β = 90.00°, γ = 90.00°
Fractional coordinates of all 4 atoms:
Sc 0.000 0.000 0.000
Os 0.500 0.500 0.845
Br 0.000 0.000 0.596
Br 0.500 0.500 0.202

Computed properties:
raw formation energy: -0.10 eV per atom
crystal system: tetragonal

---

(6)
Entry from Alexandria via LeMat-Bulk: OsSeBr after structural relaxation (GGA-PBEsol).

a = 4.318 Å, b = 4.318 Å, c = 4.318 Å
α = 60.00°, β = 60.00°, γ = 60.00°
Fractional coordinates of all 3 atoms:
Os 0.000 0.000 0.000
Se 0.750 0.750 0.750
Br 0.250 0.250 0.250

Computed properties:
raw formation energy: 0.50 eV per atom
crystal system: cubic

---

(7)
Entry from Alexandria via LeMat-Bulk: OsSeBr2 after structural relaxation (GGA-PBEsol).

a = 4.993 Å, b = 4.993 Å, c = 3.023 Å
α = 90.00°, β = 90.00°, γ = 104.31°
Fractional coordinates of all 4 atoms:
Os 0.000 0.000 0.000
Se 0.500 0.500 0.000
Br 0.000 0.500 0.500
Br 0.500 0.000 0.500

Computed properties:
raw formation energy: 1.36 eV per atom
crystal system: orthorhombic

---

(8)
Entry from Alexandria via LeMat-Bulk: OsSeBr2 after structural relaxation (GGA-PBEsol).

a = 3.016 Å, b = 3.016 Å, c = 9.626 Å
α = 90.00°, β = 90.00°, γ = 90.00°
Fractional coordinates of all 4 atoms:
Os 0.000 0.000 0.000
Se 0.500 0.500 0.141
Br 0.000 0.000 0.454
Br 0.500 0.500 0.799

Computed properties:
raw formation energy: 0.38 eV per atom
crystal system: tetragonal

---

(9)
Entry from Alexandria via LeMat-Bulk: Os2SeBr after structural relaxation (GGA-PBEsol).

a = 2.872 Å, b = 2.872 Å, c = 10.092 Å
α = 90.00°, β = 90.00°, γ = 121.81°
Fractional coordinates of all 4 atoms:
Os 0.000 0.000 0.000
Os 0.500 0.500 0.208
Se 0.000 0.000 0.431
Br 0.500 0.500 0.758

Computed properties:
raw formation energy: 0.83 eV per atom
crystal system: orthorhombic

---

(10)
Entry from Alexandria via LeMat-Bulk: Os2SeBr after structural relaxation (GGA-PBEsol).

a = 5.236 Å, b = 5.236 Å, c = 2.813 Å
α = 102.81°, β = 102.81°, γ = 113.73°
Fractional coordinates of all 4 atoms:
Os 0.000 0.500 0.000
Os 0.500 0.000 0.000
Se 0.000 0.000 0.000
Br 0.500 0.500 0.000

Computed properties:
raw formation energy: 1.27 eV per atom
crystal system: monoclinic

---

(11)
Entry from Alexandria via LeMat-Bulk: OsSe2Br after structural relaxation (GGA-PBEsol).

a = 3.010 Å, b = 3.010 Å, c = 10.957 Å
α = 90.00°, β = 90.00°, γ = 124.10°
Fractional coordinates of all 4 atoms:
Os 0.000 0.000 0.000
Se 0.500 0.500 0.190
Se 0.500 0.500 0.810
Br 0.000 0.000 0.500

Computed properties:
raw formation energy: 0.44 eV per atom
crystal system: orthorhombic

---

(12)
Entry from Alexandria via LeMat-Bulk: Os2SeBr after structural relaxation (GGA-PBEsol).

a = 2.845 Å, b = 4.363 Å, c = 5.184 Å
α = 90.00°, β = 90.00°, γ = 90.00°
Fractional coordinates of all 4 atoms:
Os 0.000 0.000 0.000
Os 0.500 0.000 0.500
Se 0.000 0.500 0.500
Br 0.500 0.500 0.000

Computed properties:
raw formation energy: 1.29 eV per atom
crystal system: orthorhombic

---

E across the listed records, respectively: -19.5; -15.4; -25.4; -23.8; -23.0; -16.4; -14.4; -18.3; -26.8; -25.1; -20.0; -25.0 eV for the cell shown.
Volume across the listed records, respectively: 81; 151; 113; 95; 85; 57; 73; 88; 71; 65; 82; 64 Å³ per cell.